Entry 1:
The following is a DFT calculation (PBEsol) of an optimized crystal structure of CdIn2Hg.

Lattice parameters (Å, degrees): 3.6242 3.6242 7.2398 90.00 90.00 90.00
With the nearest neighbours (Å) after each atom.
Sites, in units of the cell vectors:
In: 0.0000 0.0000 0.9897  4 Hg 3.14, 4 In 3.23, 1 Cd 3.47
In: 0.5000 0.5000 0.2616  4 Cd 3.13, 4 In 3.23, 1 Hg 3.45
Hg: 0.5000 0.5000 0.7385  4 Cd 3.05, 4 In 3.14
Cd: 0.0000 0.0000 0.5101  4 Hg 3.05, 4 In 3.13

distance to the lowest polymorph of the same formula = 14.8 meV/atom


Entry 2:
The following is a DFT calculation (PBEsol) of an optimized crystal structure of CdIn2Hg.

Lattice parameters (Å, degrees): 3.3891 5.3901 6.1204 116.13 106.07 90.00
With the nearest neighbours (Å) after each atom.
Sites, in units of the cell vectors:
In: 0.9934 0.9934 0.9869  2 Hg 3.11, 4 Cd 3.19, 4 In 3.23-3.39
In: 0.7563 0.2563 0.5126  2 Cd 3.11, 4 Hg 3.19, 4 In 3.23-3.39
Hg: 0.2441 0.7441 0.4881  2 Cd 3.01, 6 In 3.11-3.19
Cd: 0.5062 0.5062 0.0124  2 Hg 3.01, 6 In 3.11-3.19

distance to the lowest polymorph of the same formula = 11.7 meV/atom


Entry 3:
The following is a DFT calculation (PBEsol) of an optimized crystal structure of CdIn2Hg.

Lattice parameters (Å, degrees): 4.6741 4.6741 5.4228 115.53 115.53 90.00
With the nearest neighbours (Å) after each atom.
Sites, in units of the cell vectors:
In: 0.7500 0.2500 0.5000  4 Cd 3.18, 4 Hg 3.18, 4 In 3.31
In: 0.2500 0.7500 0.5000  4 Hg 3.18, 4 Cd 3.18, 4 In 3.31
Hg: 0.0000 0.0000 0.0000  8 In 3.18, 4 Cd 3.31
Cd: 0.5000 0.5000 0.0000  8 In 3.18, 4 Hg 3.31

distance to the lowest polymorph of the same formula = 4.3 meV/atom


Entry 4:
The following is a DFT calculation (PBEsol) of an optimized crystal structure of CdIn2Hg.

Lattice parameters (Å, degrees): 4.3046 4.3046 10.9491 100.65 100.65 89.89
With the nearest neighbours (Å) after each atom.
Sites, in units of the cell vectors:
Cd: 0.7456 0.2421 0.4999  4 Hg 3.04-3.05, 4 In 3.04-3.06
Cd: 0.4920 0.4955 0.9999  4 Hg 3.04-3.05, 4 In 3.04-3.06
Hg: 0.2466 0.7418 0.5003  4 Cd 3.04-3.05, 4 In 3.04-3.07
Hg: 0.9917 0.9965 0.0002  4 Cd 3.04-3.05, 4 In 3.04-3.07
In: 0.3813 0.8802 0.2497  4 In 3.04-3.05, 2 Cd 3.04, 2 Hg 3.05-3.07
In: 0.8813 0.3810 0.2502  2 Hg 3.04, 4 In 3.04-3.05, 2 Cd 3.06
In: 0.1303 0.1314 0.7497  4 In 3.04-3.05, 2 Cd 3.04, 2 Hg 3.05-3.07
In: 0.6311 0.6314 0.7502  2 Hg 3.04, 4 In 3.04-3.05, 2 Cd 3.06

distance to the lowest polymorph of the same formula = 20.6 meV/atom


Entry 5:
The following is a DFT calculation (PBEsol) of an optimized crystal structure of CdIn2Hg.

Lattice parameters (Å, degrees): 3.4144 5.4359 5.4532 101.70 108.24 90.00
With the nearest neighbours (Å) after each atom.
Sites, in units of the cell vectors:
In: 0.0038 0.0089 0.0075  3 Hg 3.14-3.15, 5 In 3.16-3.41, 4 Cd 3.18-3.24
In: 0.2457 0.7405 0.4914  3 Cd 3.14-3.15, 5 In 3.16-3.41, 4 Hg 3.18-3.24
Hg: 0.7542 0.2510 0.5083  3 Cd 3.10-3.24, 7 In 3.14-3.24, 2 Hg 3.41
Cd: 0.4964 0.4996 0.9927  3 Hg 3.10-3.24, 7 In 3.14-3.24, 2 Cd 3.41

distance to the lowest polymorph of the same formula = 0.0 meV/atom


Entry 6:
The following is a DFT calculation (PBEsol) of an optimized crystal structure of CdIn2Hg.

Lattice parameters (Å, degrees): 3.2044 3.2044 9.1984 90.00 90.00 90.00
With the nearest neighbours (Å) after each atom.
Sites, in units of the cell vectors:
In: 0.0000 0.0000 0.7523  4 In 3.20, 4 Cd 3.21, 4 Hg 3.24
In: 0.0000 0.0000 0.2477  4 In 3.20, 4 Cd 3.21, 4 Hg 3.24
Hg: 0.5000 0.5000 0.5000  4 Hg 3.20, 8 In 3.24
Cd: 0.5000 0.5000 0.0000  4 Cd 3.20, 8 In 3.21

distance to the lowest polymorph of the same formula = 5.3 meV/atom


Entry 7:
The following is a DFT calculation (PBEsol) of an optimized crystal structure of CdInHg.

Lattice parameters (Å, degrees): 3.2876 3.2876 6.7990 103.99 103.99 90.00
With the nearest neighbours (Å) after each atom.
Sites, in units of the cell vectors:
In: 0.3338 0.3338 0.6677  4 Cd 3.19, 4 Hg 3.20, 4 In 3.29
Hg: 0.6617 0.6617 0.3233  4 Cd 3.07, 4 In 3.20, 4 Hg 3.29
Cd: 0.0045 0.0045 0.0090  4 Hg 3.07, 4 In 3.19, 4 Cd 3.29

DFT total energy = -1.58 eV per atom


Entry 8:
The following is a DFT calculation (PBEsol) of an optimized crystal structure of CdIn2Hg.

Lattice parameters (Å, degrees): 3.2613 3.2613 10.4162 80.99 80.99 60.00
With the nearest neighbours (Å) after each atom.
Sites, in units of the cell vectors:
In: 0.9970 0.9970 0.0089  3 Hg 3.17, 9 In 3.26-3.32
In: 0.7529 0.7529 0.7414  3 Cd 3.17, 9 In 3.26-3.32
Hg: 0.2475 0.2475 0.2575  3 Cd 3.05, 3 In 3.17, 6 Hg 3.26
Cd: 0.5026 0.5026 0.4922  3 Hg 3.05, 3 In 3.17, 6 Cd 3.26

distance to the lowest polymorph of the same formula = 0.3 meV/atom


Entry 9:
The following is a DFT calculation (PBEsol) of an optimized crystal structure of CdInHg.

Lattice parameters (Å, degrees): 3.2046 3.2046 7.7421 96.94 96.94 114.59
With the nearest neighbours (Å) after each atom.
Sites, in units of the cell vectors:
In: 0.3330 0.3330 0.6659  2 Hg 3.09, 2 Cd 3.10, 4 In 3.20
Hg: 0.6637 0.6637 0.3274  2 Cd 2.98, 2 In 3.09, 4 Hg 3.20
Cd: 0.0032 0.0032 0.0065  2 Hg 2.98, 2 In 3.10, 4 Cd 3.20

DFT total energy = -1.55 eV per atom


Entry 10:
The following is a DFT calculation (PBEsol) of an optimized crystal structure of CdIn2Hg.

Lattice parameters (Å, degrees): 3.3311 5.4338 5.2961 90.00 90.88 90.00
With the nearest neighbours (Å) after each atom.
Sites, in units of the cell vectors:
In: 0.7489 0.0000 0.7498  6 In 3.10-3.33, 2 Cd 3.14, 2 Hg 3.14
In: 0.2511 0.0000 0.2502  6 In 3.10-3.33, 2 Cd 3.14, 2 Hg 3.14
Hg: 0.0000 0.5000 0.5000  4 Cd 3.11-3.15, 4 In 3.14, 2 Hg 3.33
Cd: 0.5000 0.5000 0.0000  4 Hg 3.11-3.15, 4 In 3.14, 2 Cd 3.33

distance to the lowest polymorph of the same formula = 16.6 meV/atom


Entry 11:
The following is a DFT calculation (PBEsol) of an optimized crystal structure of CdIn2Hg.

Lattice parameters (Å, degrees): 5.1450 5.1450 5.1450 60.00 60.00 60.00
With the nearest neighbours (Å) after each atom.
Sites, in units of the cell vectors:
In: 0.2500 0.2500 0.2500  4 Hg 3.15, 4 Cd 3.15
In: 0.7500 0.7500 0.7500  4 Hg 3.15, 4 Cd 3.15
Hg: 0.5000 0.5000 0.5000  8 In 3.15
Cd: 0.0000 0.0000 0.0000  8 In 3.15

distance to the lowest polymorph of the same formula = 22.2 meV/atom


Entry 12:
The following is a DFT calculation (PBEsol) of an optimized crystal structure of CdInHg.

Lattice parameters (Å, degrees): 3.5160 4.8271 4.8271 120.00 90.00 90.00
With the nearest neighbours (Å) after each atom.
Sites, in units of the cell vectors:
In: 0.3390 0.6667 0.3333  3 Hg 3.06, 3 Cd 3.09
Hg: 0.7001 0.3333 0.6667  3 Cd 2.93, 3 In 3.06
Cd: 0.9609 0.0000 0.0000  3 Hg 2.93, 3 In 3.09

DFT total energy = -1.55 eV per atom